CoH3O: relaxed, GGA+U.

- raw total energy (eV/atom) = -2.97
- magnetic moment (μB per cell) = 1.50
- density of states at the Fermi level (states/eV/atom) = 1.1256
- energy relative to the lowest polymorph listed for this composition (eV/f.u.) = 0.58

extended XYZ file:
```
5
Lattice="3.1394 0.0000 0.0000 0.0000 3.1394 0.0000 0.0000 0.0000 3.1394" Properties=species:S:1:pos:R:3 pbc="T T T"
Co 0.0000 0.0000 0.0000
H 0.0000 1.5697 1.5697
H 1.5697 0.0000 1.5697
H 1.5697 1.5697 0.0000
O 1.5697 1.5697 1.5697
```